[1]
DFT (PBE) results for a geometry-optimized UTl2In structure.

The structure in POSCAR format:
```
UTl2In
1.0
4.715 0.000 0.000
0.000 4.715 0.000
0.000 0.000 4.711
U Tl In
1 2 1
direct
0.000 0.000 0.000 U
0.000 0.500 0.500 Tl
0.500 0.000 0.500 Tl
0.500 0.500 0.000 In
```

Properties
Symmetry ... P4/mmm
Formation enthalpy at 0 K ... 0.65 eV/f.u.
D(E_F) ... 4.68 states/eV/cell

=====

[2]
DFT (PBE) results for a geometry-optimized Pu2CdCl8 structure.

The structure in POSCAR format:
```
Pu2CdCl8
1.0
10.619 -1.964 0.000
10.619 1.964 0.000
-1.225 0.000 7.711
Pu Cd Cl
2 1 8
direct
0.157 0.157 0.338 Pu
0.843 0.843 0.662 Pu
0.500 0.500 0.000 Cd
0.015 0.015 0.231 Cl
0.245 0.245 0.671 Cl
0.372 0.372 0.936 Cl
0.387 0.387 0.474 Cl
0.613 0.613 0.526 Cl
0.628 0.628 0.064 Cl
0.755 0.755 0.329 Cl
0.985 0.985 0.769 Cl
```

Properties
Symmetry ... C2/m
Offset from the most stable computed form ... 0 kJ/mol of formula units
ΔE_f (raw) ... -1.662 eV per atom
D(E_F) ... 22.21 states/eV/cell

=====

[3]
DFT (PBE) results for a geometry-optimized YTh2Sn2 structure.

The structure in POSCAR format:
```
YTh2Sn2
1.0
8.228 0.000 0.000
0.000 8.228 0.000
0.000 0.000 4.452
Y Th Sn
2 4 4
direct
0.000 0.000 0.000 Y
0.500 0.500 0.000 Y
0.169 0.331 0.500 Th
0.331 0.831 0.500 Th
0.669 0.169 0.500 Th
0.831 0.669 0.500 Th
0.134 0.634 0.000 Sn
0.366 0.134 0.000 Sn
0.634 0.866 0.000 Sn
0.866 0.366 0.000 Sn
```

Properties
Symmetry ... P4/mbm
Formation enthalpy at 0 K ... -2.93 eV/f.u.
D(E_F) ... 8.93 states/eV/cell

=====

[4]
DFT (PBE) results for a geometry-optimized Na2RePt structure.

The structure in POSCAR format:
```
Na2RePt
1.0
0.000 3.330 3.330
3.330 0.000 3.330
3.330 3.330 0.000
Na Re Pt
2 1 1
direct
0.250 0.250 0.250 Na
0.750 0.750 0.750 Na
0.000 0.000 0.000 Re
0.500 0.500 0.500 Pt
```

Properties
Symmetry ... Fm-3m
Offset from the most stable computed form ... 52 kJ/mol of formula units
Formation enthalpy at 0 K ... 4.90 eV/f.u.
D(E_F) ... 2.87 states/eV/cell

=====

[5]
DFT (PBE) results for a geometry-optimized Tb4GeP2S structure.

The structure in POSCAR format:
```
Tb4GeP2S
1.0
7.019 0.000 0.000
0.000 4.015 0.000
-2.313 0.000 6.630
Tb Ge P S
4 1 2 1
direct
0.246 0.000 0.243 Tb
0.254 0.500 0.757 Tb
0.746 0.500 0.243 Tb
0.754 0.000 0.757 Tb
0.000 0.000 0.500 Ge
0.000 0.500 0.000 P
0.500 0.000 0.000 P
0.500 0.500 0.500 S
```

Properties
Symmetry ... P2/m
ΔE_f (raw) ... -1.553 eV per atom
D(E_F) ... 1.48 states/eV/cell

=====

[6]
DFT (PBE) results for a geometry-optimized BeTl3Pd structure.

The structure in POSCAR format:
```
BeTl3Pd
1.0
4.920 0.000 0.000
0.000 4.920 0.000
0.000 0.000 4.920
Be Tl Pd
1 3 1
direct
0.000 0.000 0.000 Be
0.000 0.000 0.500 Tl
0.000 0.500 0.000 Tl
0.500 0.000 0.000 Tl
0.500 0.500 0.500 Pd
```

Properties
Symmetry ... Pm-3m
Formation enthalpy at 0 K ... 2.22 eV/f.u.
D(E_F) ... 2.53 states/eV/cell

=====

[7]
DFT (PBE) results for a geometry-optimized AlCdBr2 structure.

The structure in POSCAR format:
```
AlCdBr2
1.0
5.553 0.000 0.000
0.000 3.850 0.000
-2.565 0.000 5.731
Al Cd Br
1 1 2
direct
0.000 0.000 0.000 Al
0.703 0.500 0.096 Cd
0.122 0.500 0.756 Br
0.436 0.000 0.320 Br
```

Properties
Symmetry ... Pm
Offset from the most stable computed form ... 0 kJ/mol of formula units
ΔE_f (raw) ... -0.484 eV per atom
D(E_F) ... 0.74 states/eV/cell

=====

no.,E_tot (eV per atom),size of the total moment (Bohr magnetons per cell)
1,-4.53,2.85
2,-5.69,10.00
3,-6.45,0.00
4,-4.06,3.54
5,-6.31,0.00
6,-2.76,0.00
7,-2.49,0.00